PaTl3Hg2Te6 | GGA-PBE | relaxed

Lattice parameters (Å, degrees): 8.070 8.070 8.320 95.32 95.32 123.87
Positions (direct):
Pa 0.000 0.000 0.000
Tl 0.173 0.827 0.500
Tl 0.500 0.500 0.500
Tl 0.827 0.173 0.500
Hg 0.281 0.719 0.000
Hg 0.719 0.281 0.000
Te 0.116 0.407 0.195
Te 0.192 0.192 0.732
Te 0.407 0.116 0.195
Te 0.593 0.884 0.805
Te 0.808 0.808 0.268
Te 0.884 0.593 0.805

Calculated values
spin magnetization = 0.0 μB per formula unit
uncorrected formation energy = -0.384 eV/atom